1.
This record from Alexandria via LeMat-Bulk describes a relaxed LiMnP2O7 crystal. The functional is PBE+U.

Calculated values
The total energy is -7.0520 eV/atom. The relative energy among the computed polymorphs is 70 meV per atom. The space group is P-1 (2). The value obtained for the size of the total moment is 7.9 Bohr magnetons per cell.

abc: 6.224 6.294 7.327
angles: 69.42 74.37 80.83
Positions (direct):
Mn1 0.058 0.726 0.787
Mn2 0.942 0.274 0.213
P1 0.182 0.207 0.765
P2 0.818 0.793 0.235
P3 0.613 0.637 0.687
P4 0.387 0.363 0.313
Li1 0.667 0.086 0.842
Li2 0.333 0.914 0.158
O1 0.357 0.064 0.867
O2 0.643 0.936 0.133
O3 0.728 0.631 0.458
O4 0.760 0.792 0.721
O5 0.621 0.398 0.819
O6 0.990 0.943 0.242
O7 0.240 0.208 0.279
O8 0.941 0.612 0.130
O9 0.010 0.057 0.758
O10 0.059 0.388 0.870
O11 0.379 0.602 0.181
O12 0.377 0.753 0.670
O13 0.272 0.369 0.542
O14 0.623 0.247 0.330



2.
This record from Alexandria via LeMat-Bulk describes a relaxed Li2MnP2O8 crystal. The functional is PBE+U.

Calculated values
The total energy is -6.8146 eV/atom. The relative energy among the computed polymorphs is 0 meV per atom. The space group is C2/c (15). The value obtained for the size of the total moment is 5.8 Bohr magnetons per cell.

abc: 6.185 6.185 9.532
angles: 66.28 113.72 98.96
Positions (direct):
O1 0.928 0.227 0.739
O2 0.283 0.405 0.913
O3 0.405 0.283 0.587
O4 0.869 0.594 0.748
O5 0.595 0.717 0.413
O6 0.228 0.935 0.492
O7 0.065 0.772 0.992
O8 0.227 0.928 0.761
O9 0.773 0.072 0.239
O10 0.717 0.595 0.087
O11 0.406 0.131 0.248
O12 0.131 0.406 0.252
O13 0.935 0.228 0.008
O14 0.594 0.869 0.752
O15 0.772 0.065 0.508
O16 0.072 0.773 0.261
Li1 0.388 0.680 0.985
Li2 0.680 0.388 0.515
Li3 0.612 0.320 0.015
Li4 0.320 0.612 0.485
Mn1 0.904 0.904 0.750
Mn2 0.096 0.096 0.250
P1 0.979 0.639 0.140
P2 0.639 0.979 0.360
P3 0.361 0.021 0.640
P4 0.021 0.361 0.860



3.
This record from Alexandria via LeMat-Bulk describes a relaxed Li2MnSnP2O8 crystal. The functional is PBE+U.

Calculated values
The total energy is -6.7957 eV/atom. The space group is P2_1/m (11). The value obtained for the size of the total moment is 9.9 Bohr magnetons per cell.

abc: 11.060 6.505 4.885
angles: 90.00 88.75 90.00
Positions (direct):
P1 0.606 0.250 0.147
P2 0.394 0.750 0.853
P3 0.077 0.250 0.410
P4 0.923 0.750 0.590
Mn1 0.211 0.750 0.438
Mn2 0.789 0.250 0.562
O1 0.472 0.250 0.249
O2 0.333 0.940 0.712
O3 0.667 0.440 0.288
O4 0.078 0.250 0.726
O5 0.856 0.943 0.716
O6 0.333 0.560 0.712
O7 0.948 0.250 0.291
O8 0.052 0.750 0.709
O9 0.144 0.057 0.284
O10 0.144 0.443 0.284
O11 0.922 0.750 0.274
O12 0.623 0.250 0.835
O13 0.377 0.750 0.165
O14 0.856 0.557 0.716
O15 0.528 0.750 0.751
O16 0.667 0.060 0.288
Sn1 0.281 0.250 0.966
Sn2 0.719 0.750 0.034
Li1 0.000 0.500 0.000
Li2 0.000 0.000 0.000
Li3 0.500 0.000 0.500
Li4 0.500 0.500 0.500



4.
This record from Alexandria via LeMat-Bulk describes a relaxed Li4MnSn3P4O16 crystal. The functional is PBE+U.

Calculated values
The total energy is -6.6257 eV/atom. The space group is Pm (6). The value obtained for the size of the total moment is 5.0 Bohr magnetons per cell.

abc: 4.881 6.821 10.966
angles: 90.00 91.24 90.00
Positions (direct):
O1 0.734 0.317 0.855
O2 0.231 0.181 0.158
O3 0.773 0.000 0.557
O4 0.209 0.500 0.430
O5 0.231 0.819 0.158
O6 0.778 0.685 0.347
O7 0.316 0.500 0.944
O8 0.279 0.000 0.960
O9 0.683 0.000 0.118
O10 0.215 0.000 0.435
O11 0.778 0.315 0.347
O12 0.734 0.683 0.855
O13 0.756 0.500 0.545
O14 0.211 0.181 0.636
O15 0.211 0.819 0.636
O16 0.782 0.500 0.053
Sn1 0.456 0.500 0.214
Sn2 0.540 0.000 0.786
Sn3 0.056 0.500 0.703
Mn1 0.947 0.000 0.277
Li1 0.499 0.239 0.491
Li2 0.049 0.721 0.000
Li3 0.499 0.761 0.491
Li4 0.049 0.279 0.000
P1 0.372 0.000 0.099
P2 0.628 0.500 0.926
P3 0.087 0.000 0.564
P4 0.896 0.500 0.416



5.
This record from Alexandria via LeMat-Bulk describes a relaxed Li6MnSn3P6O24 crystal. The functional is PBE+U.

Calculated values
The total energy is -6.6791 eV/atom. The space group is P1 (1). The value obtained for the size of the total moment is 5.0 Bohr magnetons per cell.

abc: 9.112 9.091 8.992
angles: 60.10 61.16 58.43
Positions (direct):
P1 0.772 0.026 0.445
P2 0.579 0.260 0.914
P3 0.466 0.767 0.032
P4 0.930 0.585 0.255
P5 0.043 0.471 0.753
P6 0.222 0.964 0.577
Sn1 0.345 0.354 0.355
Sn2 0.853 0.846 0.852
Sn3 0.630 0.677 0.641
O1 0.664 0.725 0.005
O2 0.379 0.767 0.610
O3 0.861 0.909 0.596
O4 0.212 0.449 0.589
O5 0.049 0.601 0.816
O6 0.747 0.603 0.413
O7 0.888 0.771 0.096
O8 0.653 0.225 0.438
O9 0.674 0.218 0.040
O10 0.922 0.019 0.262
O11 0.371 0.322 0.994
O12 0.340 0.968 0.012
O13 0.071 0.582 0.306
O14 0.652 0.094 0.856
O15 0.469 0.725 0.879
O16 0.390 0.643 0.217
O17 0.198 0.022 0.397
O18 0.265 0.099 0.592
O19 0.864 0.548 0.713
O20 0.978 0.417 0.218
O21 0.053 0.943 0.743
O22 0.055 0.289 0.912
O23 0.660 0.926 0.466
O24 0.611 0.421 0.733
Mn1 0.187 0.183 0.135
Li1 0.827 0.269 0.082
Li2 0.295 0.559 0.793
Li3 0.127 0.768 0.313
Li4 0.230 0.081 0.825
Li5 0.772 0.970 0.189
Li6 0.697 0.383 0.485



6.
This record from Alexandria via LeMat-Bulk describes a relaxed Li8TiMn3P6O24 crystal. The functional is PBE+U.

Calculated values
The total energy is -6.9927 eV/atom. The relative energy among the computed polymorphs is 11 meV per atom. The space group is R3 (146). The value obtained for the size of the total moment is 15.0 Bohr magnetons per cell.

abc: 9.261 9.261 9.261
angles: 55.13 55.13 55.13
Positions (direct):
Li1 0.647 0.919 0.282
Li2 0.282 0.647 0.919
Li3 0.774 0.420 0.143
Li4 0.143 0.774 0.420
Li5 0.420 0.143 0.774
Li6 0.919 0.282 0.647
Li7 0.550 0.550 0.550
Li8 0.042 0.042 0.042
O1 0.547 0.179 0.508
O2 0.139 0.539 0.193
O3 0.841 0.754 0.111
O4 0.433 0.771 0.874
O5 0.450 0.813 0.528
O6 0.203 0.956 0.404
O7 0.597 0.838 0.962
O8 0.838 0.962 0.597
O9 0.539 0.193 0.139
O10 0.956 0.404 0.203
O11 0.144 0.248 0.875
O12 0.111 0.841 0.754
O13 0.404 0.203 0.956
O14 0.813 0.528 0.450
O15 0.508 0.547 0.179
O16 0.754 0.111 0.841
O17 0.248 0.875 0.144
O18 0.528 0.450 0.813
O19 0.179 0.508 0.547
O20 0.874 0.433 0.771
O21 0.962 0.597 0.838
O22 0.771 0.874 0.433
O23 0.875 0.144 0.248
O24 0.193 0.139 0.539
P1 0.240 0.944 0.553
P2 0.553 0.240 0.944
P3 0.043 0.446 0.753
P4 0.944 0.553 0.240
P5 0.753 0.043 0.446
P6 0.446 0.753 0.043
Mn1 0.157 0.157 0.157
Mn2 0.663 0.663 0.663
Mn3 0.348 0.348 0.348
Ti1 0.848 0.848 0.848



7.
This record from Alexandria via LeMat-Bulk describes a relaxed Li8TiMn3P6O24 crystal. The functional is PBE+U.

Calculated values
The total energy is -7.0036 eV/atom. The relative energy among the computed polymorphs is 0 meV per atom. The space group is P1 (1). The value obtained for the size of the total moment is 15.0 Bohr magnetons per cell.

abc: 9.350 8.455 8.495
angles: 60.50 62.13 89.43
Positions (direct):
O1 0.164 0.526 0.003
O2 0.596 0.156 0.418
O3 0.798 0.491 0.666
O4 0.800 0.453 0.045
O5 0.286 0.259 0.548
O6 0.565 0.967 0.836
O7 0.879 0.152 0.638
O8 0.745 0.850 0.997
O9 0.155 0.477 0.359
O10 0.124 0.860 0.349
O11 0.747 0.753 0.395
O12 0.796 0.844 0.674
O13 0.265 0.861 0.897
O14 0.913 0.206 0.247
O15 0.271 0.165 0.994
O16 0.102 0.429 0.701
O17 0.414 0.050 0.213
O18 0.875 0.509 0.328
O19 0.568 0.419 0.603
O20 0.760 0.126 0.107
O21 0.389 0.627 0.342
O22 0.091 0.794 0.770
O23 0.170 0.174 0.323
O24 0.398 0.770 0.627
Li1 0.429 0.200 0.328
Li2 0.147 0.341 0.928
Li3 0.093 0.060 0.634
Li4 0.585 0.867 0.635
Li5 0.853 0.265 0.807
Li6 0.914 0.928 0.355
Li7 0.304 0.773 0.133
Li8 0.857 0.658 0.069
Mn1 0.957 0.647 0.694
Mn2 0.561 0.845 0.291
Mn3 0.435 0.159 0.713
P1 0.234 0.746 0.816
P2 0.739 0.541 0.511
P3 0.249 0.060 0.216
P4 0.742 0.948 0.791
P5 0.764 0.240 0.200
P6 0.240 0.450 0.491
Ti1 0.025 0.355 0.309



8.
This record from Alexandria via LeMat-Bulk describes a relaxed Li2MnVP4O14 crystal. The functional is PBE+U.

Calculated values
The total energy is -7.1945 eV/atom. The space group is P1 (1). The value obtained for the size of the total moment is 6.0 Bohr magnetons per cell.

abc: 4.854 7.079 8.340
angles: 91.69 89.48 108.54
Positions (direct):
P1 0.399 0.519 0.319
P2 0.217 0.088 0.712
P3 0.598 0.478 0.824
P4 0.780 0.909 0.214
O1 0.752 0.496 0.662
O2 0.243 0.493 0.159
O3 0.389 0.603 0.828
O4 0.594 0.751 0.342
O5 0.406 0.089 0.563
O6 0.959 0.158 0.674
O7 0.595 0.903 0.064
O8 0.410 0.248 0.847
O9 0.190 0.487 0.463
O10 0.056 0.857 0.172
O11 0.609 0.397 0.326
O12 0.857 0.111 0.301
O13 0.811 0.523 0.966
O14 0.134 0.889 0.793
V1 0.788 0.275 0.501
Mn1 0.209 0.728 0.001
Li1 0.826 0.328 0.141
Li2 0.177 0.672 0.644



9.
This record from Alexandria via LeMat-Bulk describes a relaxed Li8Mn3VP6O24 crystal. The functional is PBE+U.

Calculated values
The total energy is -6.8182 eV/atom. The space group is P1 (1). The value obtained for the size of the total moment is 4.0 Bohr magnetons per cell.

abc: 8.402 8.438 9.186
angles: 90.71 116.91 119.42
Positions (direct):
O1 0.820 0.997 0.425
O2 0.123 0.877 0.248
O3 0.382 0.389 0.594
O4 0.630 0.845 0.102
O5 0.990 0.464 0.817
O6 0.417 0.261 0.269
O7 0.685 0.158 0.219
O8 0.569 0.749 0.715
O9 0.974 0.833 0.718
O10 0.210 0.964 0.585
O11 0.041 0.539 0.201
O12 0.704 0.573 0.903
O13 0.883 0.121 0.733
O14 0.300 0.449 0.091
O15 0.996 0.139 0.257
O16 0.615 0.212 0.591
O17 0.341 0.133 0.892
O18 0.416 0.825 0.414
O19 0.676 0.518 0.206
O20 0.305 0.820 0.810
O21 0.340 0.511 0.815
O22 0.580 0.604 0.409
O23 0.759 0.203 0.905
O24 0.251 0.783 0.089
Li1 0.813 0.740 0.139
Li2 0.321 0.796 0.581
Li3 0.196 0.267 0.855
Li4 0.680 0.258 0.413
Li5 0.933 0.655 0.854
Li6 0.367 0.058 0.106
Li7 0.065 0.333 0.144
Li8 0.627 0.936 0.900
V1 0.708 0.850 0.560
P1 0.204 0.940 0.747
P2 0.207 0.752 0.241
P3 0.497 0.549 0.752
P4 0.784 0.038 0.255
P5 0.500 0.464 0.247
P6 0.807 0.248 0.759
Mn1 0.693 0.353 0.041
Mn2 0.284 0.146 0.436
Mn3 0.308 0.647 0.963



10.
This record from Alexandria via LeMat-Bulk describes a relaxed Li4Mn3VP4O16 crystal. The functional is PBE+U.

Calculated values
The total energy is -7.1765 eV/atom. The space group is Pm (6). The value obtained for the size of the total moment is 18.0 Bohr magnetons per cell.

abc: 6.161 4.788 10.566
angles: 90.05 90.00 90.00
Positions (direct):
P1 0.000 0.910 0.591
P2 0.500 0.410 0.907
P3 0.500 0.089 0.410
P4 0.000 0.590 0.091
O1 0.299 0.223 0.340
O2 0.201 0.776 0.660
O3 0.500 0.731 0.902
O4 0.500 0.210 0.546
O5 0.500 0.769 0.404
O6 0.000 0.269 0.096
O7 0.201 0.723 0.160
O8 0.799 0.723 0.160
O9 0.299 0.275 0.837
O10 0.799 0.776 0.660
O11 0.000 0.710 0.955
O12 0.701 0.223 0.340
O13 0.701 0.275 0.837
O14 0.000 0.230 0.596
O15 0.500 0.291 0.043
O16 0.000 0.788 0.455
Li1 0.252 0.501 0.502
Li2 0.249 0.001 0.001
Li3 0.751 0.001 0.001
Li4 0.748 0.501 0.502
Mn1 0.000 0.474 0.779
Mn2 0.500 0.526 0.220
Mn3 0.000 0.027 0.281
V1 0.500 0.978 0.723



11.
This record from Alexandria via LeMat-Bulk describes a relaxed Li4MnV3P4O16 crystal. The functional is PBE+U.

Calculated values
The total energy is -7.1666 eV/atom. The space group is Pm (6). The value obtained for the size of the total moment is 14.0 Bohr magnetons per cell.

abc: 6.128 4.775 10.530
angles: 90.03 90.00 90.00
Positions (direct):
V1 0.500 0.478 0.224
V2 0.000 0.980 0.274
V3 0.000 0.521 0.776
O1 0.702 0.773 0.338
O2 0.000 0.291 0.955
O3 0.298 0.725 0.842
O4 0.000 0.733 0.097
O5 0.000 0.207 0.454
O6 0.798 0.275 0.161
O7 0.202 0.275 0.161
O8 0.500 0.711 0.048
O9 0.500 0.790 0.545
O10 0.000 0.766 0.596
O11 0.298 0.773 0.338
O12 0.500 0.231 0.403
O13 0.702 0.725 0.842
O14 0.798 0.224 0.660
O15 0.500 0.269 0.905
O16 0.202 0.224 0.660
Li1 0.248 0.501 0.499
Li2 0.251 0.002 0.999
Li3 0.752 0.501 0.499
Li4 0.749 0.002 0.999
P1 0.500 0.909 0.407
P2 0.000 0.088 0.591
P3 0.000 0.411 0.092
P4 0.500 0.590 0.911
Mn1 0.500 0.025 0.722